Entry 1:
Density functional theory data (PBE) for an optimized crystal structure of NdInPd.

abc: 8.1894 8.1894 4.9823
angles: 90.00 90.00 90.00
Element x y z (fractional)
Nd: 0.0974 0.7328 0.0000
Nd: 0.2672 0.0974 0.5000
Nd: 0.7328 0.9026 0.5000
Nd: 0.9026 0.2672 0.0000
In: 0.1899 0.4821 0.5000
In: 0.4821 0.8101 0.0000
In: 0.5179 0.1899 0.0000
In: 0.8101 0.5179 0.5000
Pd: 0.2307 0.3501 0.0000
Pd: 0.3501 0.7693 0.5000
Pd: 0.6499 0.2307 0.5000
Pd: 0.7693 0.6499 0.0000

As for the space-group type: P4_2/m (84). Its final energy is -4.675 eV/atom. As for the formation energy: -442 meV per atom. The total magnetic moment comes out at 0.00 μB per formula unit. The crystal system is tetragonal. Its density of states at the Fermi level is 7.57 states/eV per cell.

=====

Entry 2:
Density functional theory data (PBE) for an optimized crystal structure of NdIn4Pd15.

abc: 4.0971 4.0971 20.1248
angles: 90.00 90.00 90.00
Element x y z (fractional)
Nd: 0.0000 0.0000 0.0000
In: 0.0000 0.0000 0.2065
In: 0.0000 0.0000 0.4017
In: 0.0000 0.0000 0.5983
In: 0.0000 0.0000 0.7935
Pd: 0.0000 0.5000 0.1076
Pd: 0.0000 0.5000 0.3038
Pd: 0.0000 0.5000 0.5000
Pd: 0.0000 0.5000 0.6962
Pd: 0.0000 0.5000 0.8924
Pd: 0.5000 0.0000 0.1076
Pd: 0.5000 0.0000 0.3038
Pd: 0.5000 0.0000 0.5000
Pd: 0.5000 0.0000 0.6962
Pd: 0.5000 0.0000 0.8924
Pd: 0.5000 0.5000 0.0000
Pd: 0.5000 0.5000 0.2047
Pd: 0.5000 0.5000 0.4020
Pd: 0.5000 0.5000 0.5980
Pd: 0.5000 0.5000 0.7953

As for the space-group type: P4/mmm (123). Its final energy is -5.175 eV/atom. As for the formation energy: -494 meV per atom. The total magnetic moment comes out at 0.00 μB per formula unit. The crystal system is tetragonal. Its density of states at the Fermi level is 17.04 states/eV per cell.

=====

Entry 3:
Density functional theory data (PBE) for an optimized crystal structure of NdInPd2.

abc: 4.8601 4.8601 3.5322
angles: 90.00 90.00 90.00
Element x y z (fractional)
Nd: 0.0000 0.0000 0.0000
In: 0.5000 0.5000 0.0000
Pd: 0.0000 0.5000 0.5000
Pd: 0.5000 0.0000 0.5000

As for the space-group type: P4/mmm (123). Its final energy is -5.092 eV/atom. As for the formation energy: -619 meV per atom. The total magnetic moment comes out at 0.00 μB per formula unit. The crystal system is tetragonal. Its density of states at the Fermi level is 2.44 states/eV per cell.

=====

Entry 4:
Density functional theory data (PBE) for an optimized crystal structure of NdIn3Pd3.

abc: 7.2624 7.2624 7.2624
angles: 90.00 90.00 90.00
Element x y z (fractional)
Nd: 0.0000 0.0000 0.0000
Nd: 0.5000 0.5000 0.5000
In: 0.0000 0.2500 0.5000
In: 0.0000 0.7500 0.5000
In: 0.2500 0.5000 0.0000
In: 0.5000 0.0000 0.2500
In: 0.5000 0.0000 0.7500
In: 0.7500 0.5000 0.0000
Pd: 0.0000 0.5000 0.2500
Pd: 0.0000 0.5000 0.7500
Pd: 0.2500 0.0000 0.5000
Pd: 0.5000 0.2500 0.0000
Pd: 0.5000 0.7500 0.0000
Pd: 0.7500 0.0000 0.5000

As for the space-group type: Pm-3n (223). Its final energy is -4.159 eV/atom. As for the formation energy: -79 meV per atom. The total magnetic moment comes out at 0.00 μB per formula unit. The crystal system is cubic. Its density of states at the Fermi level is 10.67 states/eV per cell.